# SiAgOs3 PBE-GGA relaxed
# E	-5.171	eV/atom
# E_form (uncorrected)	3.22	eV/atom
# DOS(E_F)	8.5	states/eV/f.u.
# magnetic moment	3.05	μB per formula unit
data_SiAgOs3
_cell_length_a 4.7514
_cell_length_b 4.7514
_cell_length_c 4.7514
_cell_angle_alpha 90.00
_cell_angle_beta 90.00
_cell_angle_gamma 90.00
_space_group_name_H-M_alt 'P m -3 m'
_space_group_IT_number 221
_space_group_name_Hall '-P 4 2 3'
loop_
_atom_site_label
_atom_site_fract_x
_atom_site_fract_y
_atom_site_fract_z
_atom_site_occupancy
Si1 0.0000 0.0000 0.0000 1
Ag1 0.5000 0.5000 0.5000 1
Os1 0.0000 0.5000 0.5000 1

=====

# DyScSnPd PBE-GGA relaxed
# E	-5.755	eV/atom
# calculated formation energy	-0.723	eV/atom
# DOS(E_F)	2.2	states/eV/f.u.
# magnetic moment	0.00	μB per formula unit
data_DyScSnPd
_cell_length_a 7.0990
_cell_length_b 7.0990
_cell_length_c 7.0990
_cell_angle_alpha 90.00
_cell_angle_beta 90.00
_cell_angle_gamma 90.00
_space_group_name_H-M_alt 'F -4 3 m'
_space_group_IT_number 216
_space_group_name_Hall 'F -4 2 3'
loop_
_atom_site_label
_atom_site_fract_x
_atom_site_fract_y
_atom_site_fract_z
_atom_site_occupancy
Dy1 0.0000 0.0000 0.0000 1
Sc1 0.0000 0.0000 0.5000 1
Sn1 0.2500 0.2500 0.7500 1
Pd1 0.2500 0.2500 0.2500 1